No. 1
Compound: La2YTiTl
Source: the Alexandria database
Functional: PBE
Structure: optimized geometry

Results
**ΔH_f (0 K)**: 0.33 eV per atom

POSCAR file:
```
La2YTiTl
1.0
5.4934 0.0000 0.0000
0.0000 5.4934 0.0000
0.0000 0.0000 5.4410
La Y Ti Tl
2 1 1 1
Direct
0.0000 0.5000 0.0000
0.5000 0.0000 0.0000
0.0000 0.0000 0.5000
0.0000 0.0000 0.0000
0.5000 0.5000 0.5000
```


No. 2
Compound: Rb2YPaS4
Source: the Alexandria database
Functional: PBE
Structure: optimized geometry

Results
**Formation energy without anion corrections**: -1.6315 eV/atom

POSCAR file:
```
Rb2YPaS4
1.0
7.0655 0.0000 0.0000
0.0000 4.0500 0.0000
-2.3226 0.0000 7.7521
Rb Y Pa S
2 1 1 4
Direct
0.0000 0.0000 0.0000
0.5000 0.5000 0.0000
0.0000 0.5000 0.5000
0.5000 0.0000 0.5000
0.2335 0.0000 0.6942
0.2678 0.5000 0.3040
0.7322 0.5000 0.6960
0.7665 0.0000 0.3058
```